Entry 1:
Below is Zn3Pd5 after structural relaxation, with properties calculated at the PBE-GGA level.

Computed properties:
ΔE_f (kJ per mole of atoms): -45.1

```
Zn3Pd5
1.0
-1.406 3.878 -0.247
-3.611 -1.063 3.865
4.190 1.707 2.938
Zn Pd
3 5
direct
0.000 0.500 0.500 Zn
0.500 0.774 0.226 Zn
0.500 0.226 0.774 Zn
0.000 0.000 0.000 Pd
0.000 0.000 0.500 Pd
0.000 0.500 0.000 Pd
0.500 0.278 0.278 Pd
0.500 0.722 0.722 Pd
```



Entry 2:
Below is ZnCd5Pd6 after structural relaxation, with properties calculated at the PBE-GGA level.

Computed properties:
ΔE_f (kJ per mole of atoms): -40.6

```
ZnCd5Pd6
1.0
0.232 -3.630 -2.313
-0.703 -2.175 7.358
-6.187 3.804 -2.572
Zn Pd Cd
1 6 5
direct
0.000 0.000 0.000 Zn
0.241 0.079 0.403 Pd
0.759 0.597 0.921 Pd
0.732 0.232 0.232 Pd
0.268 0.768 0.768 Pd
0.241 0.403 0.079 Pd
0.759 0.921 0.597 Pd
0.500 0.172 0.828 Cd
0.000 0.337 0.663 Cd
0.500 0.500 0.500 Cd
0.000 0.663 0.337 Cd
0.500 0.828 0.172 Cd
```



Entry 3:
Below is In2SiPt after structural relaxation, with properties calculated at the PBE-GGA level.

Computed properties:
Energy relative to the elements, uncorrected (meV/atom): -201

```
In2SiPt
1.0
-1.638 -7.732 0.542
0.232 -7.486 -2.581
2.008 -7.639 0.601
In Pt Si
2 1 1
direct
0.010 0.010 0.010 In
0.236 0.236 0.236 In
0.485 0.485 0.485 Pt
0.769 0.769 0.769 Si
```



Entry 4:
Below is KZrFe after structural relaxation, with properties calculated at the PBE-GGA level.

Computed properties:
ΔE_f (kJ per mole of atoms): 57.9

```
KZrFe
1.0
-2.477 -1.994 -6.847
-5.013 -2.858 -4.867
-1.689 2.698 -0.985
Fe K Zr
1 1 1
direct
0.035 0.035 0.965 Fe
0.354 0.354 0.646 K
0.612 0.612 0.388 Zr
```



Entry 5:
Below is Ca2PRh after structural relaxation, with properties calculated at the PBE-GGA level.

Computed properties:
ΔE_f (kJ per mole of atoms): -42.5

```
Ca2PRh
1.0
3.348 0.002 0.000
-0.002 3.348 0.000
0.000 0.000 8.208
Ca P Rh
2 1 1
direct
0.000 0.000 0.933 Ca
0.500 0.500 0.325 Ca
0.000 0.000 0.571 P
0.500 0.500 0.671 Rh
```



Entry 6:
Below is Na3MgSc after structural relaxation, with properties calculated at the PBE-GGA level.

Computed properties:
ΔE_f (kJ per mole of atoms): 90.1

```
Na3MgSc
1.0
6.163 0.000 0.000
0.000 6.163 0.000
0.000 0.000 6.163
Sc Na Mg
1 3 1
direct
0.000 0.000 0.000 Sc
0.000 0.500 0.000 Na
0.000 0.000 0.500 Na
0.500 0.000 0.000 Na
0.500 0.500 0.500 Mg
```



Entry 7:
Below is CaMgZn2Au2 after structural relaxation, with properties calculated at the PBE-GGA level.

Computed properties:
ΔE_f (kJ per mole of atoms): -50.6

```
CaMgZn2Au2
1.0
-3.149 -1.844 2.664
0.335 -1.278 -4.320
4.394 -4.911 1.794
Ca Mg Zn Au
1 1 2 2
direct
0.000 0.000 0.000 Ca
0.000 0.000 0.500 Mg
0.667 0.333 0.293 Zn
0.333 0.667 0.707 Zn
0.667 0.333 0.715 Au
0.333 0.667 0.285 Au
```



Entry 8:
Below is CrRePb2 after structural relaxation, with properties calculated at the PBE-GGA level.

Computed properties:
ΔE_f (kJ per mole of atoms): 93.1

```
CrRePb2
1.0
4.853 0.004 -0.004
3.690 3.152 -0.004
0.946 0.349 5.393
Cr Pb Re
1 2 1
direct
0.750 0.750 0.750 Cr
0.994 0.994 0.009 Pb
0.506 0.506 0.491 Pb
0.250 0.250 0.250 Re
```



| no. | total magnetization (μB per cell) |
| --- | --- |
| 1 | 0.0 |
| 2 | 0.0 |
| 3 | 0.0 |
| 4 | 1.2 |
| 5 | 0.0 |
| 6 | 1.5 |
| 7 | 0.0 |
| 8 | 3.2 |